*one*
Density functional theory data (PBE) for a geometry-optimized Zn2InPd2 structure.

Geometry as CIF:
```
data_Zn2InPd2
_chemical_formula_sum 'Zn4 In2 Pd4'
_cell_length_a 7.329
_cell_length_b 7.329
_cell_length_c 3.093
_cell_angle_alpha 90.00
_cell_angle_beta 90.00
_cell_angle_gamma 90.00
_space_group_name_H-M_alt 'P 4/m b m'
_space_group_IT_number 127
_space_group_name_Hall '-P 4 2ab'
loop_
_atom_site_label
_atom_site_type_symbol
_atom_site_fract_x
_atom_site_fract_y
_atom_site_fract_z
Zn1 Zn 0.146 0.354 0.000
In1 In 0.000 0.000 0.500
Pd1 Pd 0.148 0.648 0.500
```

Values from the calculation:
For the volume, the calculation gives 16.6 Å³ per atom. The calculation puts the magnetic moment at 0.00 μB/cell.

*two*
Density functional theory data (PBE) for a geometry-optimized Zn2InPd2 structure.

Geometry as CIF:
```
data_Zn2InPd2
_chemical_formula_sum 'Zn2 In1 Pd2'
_cell_length_a 4.4842
_cell_length_b 4.4842
_cell_length_c 5.1936
_cell_angle_alpha 90.00
_cell_angle_beta 90.00
_cell_angle_gamma 120.00
_space_group_name_H-M_alt 'P -3 m 1'
_space_group_IT_number 164
_space_group_name_Hall '-P 3 2"'
loop_
_atom_site_label
_atom_site_type_symbol
_atom_site_fract_x
_atom_site_fract_y
_atom_site_fract_z
Zn1 Zn 0.3333 0.6667 0.1493
In1 In 0.0000 0.0000 0.5000
Pd1 Pd 0.3333 0.6667 0.6610
```

Values from the calculation:
For the volume, the calculation gives 18.1 Å³ per atom. The calculation puts the magnetic moment at 0.00 μB/cell.

*three*
Density functional theory data (PBE) for a geometry-optimized Zn2InPd2 structure.

Geometry as CIF:
```
data_Zn2InPd2
_chemical_formula_sum 'Zn4 In2 Pd4'
_cell_length_a 7.372
_cell_length_b 7.372
_cell_length_c 2.983
_cell_angle_alpha 90.00
_cell_angle_beta 90.00
_cell_angle_gamma 90.00
_space_group_name_H-M_alt 'P 4/m b m'
_space_group_IT_number 127
_space_group_name_Hall '-P 4 2ab'
loop_
_atom_site_label
_atom_site_type_symbol
_atom_site_fract_x
_atom_site_fract_y
_atom_site_fract_z
Zn1 Zn 0.124 0.376 0.000
In1 In 0.000 0.000 0.000
Pd1 Pd 0.171 0.671 0.500
```

Values from the calculation:
For the volume, the calculation gives 16.2 Å³ per atom. The calculation puts the magnetic moment at 0.00 μB/cell.

Which is the most stable structure? *one* is the most stable.

*one*
Density functional theory data (PBE) for a geometry-optimized Zn2InPd2 structure.

Geometry as CIF:
```
data_Zn2InPd2
_chemical_formula_sum 'Zn4 In2 Pd4'
_cell_length_a 3.572
_cell_length_b 3.572
_cell_length_c 13.367
_cell_angle_alpha 90.00
_cell_angle_beta 90.00
_cell_angle_gamma 90.00
_space_group_name_H-M_alt 'I 4/m m m'
_space_group_IT_number 139
_space_group_name_Hall '-I 4 2'
loop_
_atom_site_label
_atom_site_type_symbol
_atom_site_fract_x
_atom_site_fract_y
_atom_site_fract_z
Zn1 Zn 0.000 0.500 0.250
In1 In 0.000 0.000 0.000
Pd1 Pd 0.000 0.000 0.397
```

Values from the calculation:
For the volume, the calculation gives 17.1 Å³ per atom. The calculation puts the magnetic moment at 0.00 μB/cell.

*two*
Density functional theory data (PBE) for a geometry-optimized Zn2InPd2 structure.

Geometry as CIF:
```
data_Zn2InPd2
_chemical_formula_sum 'Zn4 In2 Pd4'
_cell_length_a 4.024
_cell_length_b 4.024
_cell_length_c 11.213
_cell_angle_alpha 90.00
_cell_angle_beta 90.00
_cell_angle_gamma 90.00
_space_group_name_H-M_alt 'I 4/m m m'
_space_group_IT_number 139
_space_group_name_Hall '-I 4 2'
loop_
_atom_site_label
_atom_site_type_symbol
_atom_site_fract_x
_atom_site_fract_y
_atom_site_fract_z
Zn1 Zn 0.000 0.000 0.110
In1 In 0.000 0.000 0.500
Pd1 Pd 0.000 0.500 0.250
```

Values from the calculation:
For the volume, the calculation gives 18.2 Å³ per atom. The calculation puts the magnetic moment at 0.00 μB/cell.

Which is the most stable structure? *one* is the most stable.

*one*
Density functional theory data (PBE) for a geometry-optimized ZnInPd4 structure.

Geometry as CIF:
```
data_ZnInPd4
_chemical_formula_sum 'Zn4 In4 Pd16'
_cell_length_a 7.433
_cell_length_b 2.947
_cell_length_c 17.526
_cell_angle_alpha 90.00
_cell_angle_beta 90.00
_cell_angle_gamma 90.00
_space_group_name_H-M_alt 'P n m a'
_space_group_IT_number 62
_space_group_name_Hall '-P 2ac 2n'
loop_
_atom_site_label
_atom_site_type_symbol
_atom_site_fract_x
_atom_site_fract_y
_atom_site_fract_z
Zn1 Zn 0.249 0.250 0.053
In1 In 0.227 0.250 0.814
Pd1 Pd 0.037 0.750 0.433
Pd2 Pd 0.046 0.750 0.702
Pd3 Pd 0.108 0.750 0.942
Pd4 Pd 0.134 0.750 0.165
```

Values from the calculation:
For the volume, the calculation gives 16.0 Å³ per atom. The calculation puts the magnetic moment at 0.00 μB/cell.

*two*
Density functional theory data (PBE) for a geometry-optimized ZnInPd4 structure.

Geometry as CIF:
```
data_ZnInPd4
_chemical_formula_sum 'Zn1 In1 Pd4'
_cell_length_a 4.238
_cell_length_b 4.238
_cell_length_c 6.138
_cell_angle_alpha 90.00
_cell_angle_beta 90.00
_cell_angle_gamma 90.00
_space_group_name_H-M_alt 'P 4/m m m'
_space_group_IT_number 123
_space_group_name_Hall '-P 4 2'
loop_
_atom_site_label
_atom_site_type_symbol
_atom_site_fract_x
_atom_site_fract_y
_atom_site_fract_z
Zn1 Zn 0.000 0.000 0.000
In1 In 0.500 0.500 0.500
Pd1 Pd 0.000 0.500 0.233
```

Values from the calculation:
For the volume, the calculation gives 18.4 Å³ per atom. The calculation puts the magnetic moment at 0.00 μB/cell.

Which is the most stable structure? *one* is the most stable.

*one*
Density functional theory data (PBE) for a geometry-optimized ZnInPd5 structure.

Geometry as CIF:
```
data_ZnInPd5
_chemical_formula_sum 'Zn1 In1 Pd5'
_cell_length_a 4.316
_cell_length_b 4.316
_cell_length_c 6.299
_cell_angle_alpha 90.00
_cell_angle_beta 90.00
_cell_angle_gamma 90.00
_space_group_name_H-M_alt 'P 4/m m m'
_space_group_IT_number 123
_space_group_name_Hall '-P 4 2'
loop_
_atom_site_label
_atom_site_type_symbol
_atom_site_fract_x
_atom_site_fract_y
_atom_site_fract_z
Zn1 Zn 0.000 0.000 0.000
In1 In 0.500 0.500 0.500
Pd1 Pd 0.000 0.000 0.500
Pd2 Pd 0.000 0.500 0.223
```

Values from the calculation:
For the volume, the calculation gives 16.8 Å³ per atom. The calculation puts the magnetic moment at 0.00 μB/cell.

*two*
Density functional theory data (PBE) for a geometry-optimized ZnInPd5 structure.

Geometry as CIF:
```
data_ZnInPd5
_chemical_formula_sum 'Zn4 In4 Pd20'
_cell_length_a 8.308
_cell_length_b 9.464
_cell_length_c 6.966
_cell_angle_alpha 90.00
_cell_angle_beta 119.96
_cell_angle_gamma 90.00
_space_group_name_H-M_alt 'C 1 2/c 1'
_space_group_IT_number 15
_space_group_name_Hall '-C 2yc'
loop_
_atom_site_label
_atom_site_type_symbol
_atom_site_fract_x
_atom_site_fract_y
_atom_site_fract_z
Zn1 Zn 0.250 0.250 0.000
In1 In 0.000 0.190 0.250
Pd1 Pd 0.000 0.084 0.750
Pd2 Pd 0.060 0.357 0.596
Pd3 Pd 0.227 0.423 0.355
```

Values from the calculation:
For the volume, the calculation gives 16.9 Å³ per atom. The calculation puts the magnetic moment at 0.00 μB/cell.

Which is the most stable structure? *one* is the most stable.